(1)
{
  "formula": "Sc3Ga2Ir",
  "functional": "PBE",
  "state": "optimized geometry",
  "energy_ev_per_cell": -38.414,
  "lattice_angstrom": [[3.3210, 0.0000, 0.0000], [0.0000, 3.3210, 0.0000], [0.0000, 0.0000, 9.8634]],
  "species": ["Sc", "Sc", "Sc", "Ga", "Ga", "Ir"],
  "frac_coords": [[0.0000, 0.0000, 0.0000], [0.0000, 0.0000, 0.3445], [0.0000, 0.0000, 0.6555], [0.5000, 0.5000, 0.1725], [0.5000, 0.5000, 0.8275], [0.5000, 0.5000, 0.5000]]
}


(2)
{
  "formula": "ScGaIr2",
  "functional": "PBE",
  "state": "optimized geometry",
  "energy_ev_per_cell": -30.238,
  "lattice_angstrom": [[4.2600, 0.0000, 0.0000], [0.0000, 4.2600, 0.0000], [0.0000, 0.0000, 3.3968]],
  "species": ["Sc", "Ga", "Ir", "Ir"],
  "frac_coords": [[0.0000, 0.0000, 0.0000], [0.5000, 0.5000, 0.0000], [0.0000, 0.5000, 0.5000], [0.5000, 0.0000, 0.5000]]
}


(3)
{
  "formula": "Sc2GaIr",
  "functional": "PBE",
  "state": "optimized geometry",
  "energy_ev_per_cell": -27.358,
  "lattice_angstrom": [[0.0000, 3.2312, 3.2312], [3.2312, 0.0000, 3.2312], [3.2312, 3.2312, 0.0000]],
  "species": ["Sc", "Sc", "Ga", "Ir"],
  "frac_coords": [[0.0000, 0.0000, 0.0000], [0.2500, 0.2500, 0.2500], [0.5000, 0.5000, 0.5000], [0.7500, 0.7500, 0.7500]]
}


(4)
{
  "formula": "ScGaIr2",
  "functional": "PBE",
  "state": "optimized geometry",
  "energy_ev_per_cell": -28.358,
  "lattice_angstrom": [[0.0000, 3.1735, 3.1735], [3.1735, 0.0000, 3.1735], [3.1735, 3.1735, 0.0000]],
  "species": ["Sc", "Ga", "Ir", "Ir"],
  "frac_coords": [[0.0000, 0.0000, 0.0000], [0.7500, 0.7500, 0.7500], [0.2500, 0.2500, 0.2500], [0.5000, 0.5000, 0.5000]]
}


(5)
{
  "formula": "Sc6Ga7Ir5",
  "functional": "PBE",
  "state": "optimized geometry",
  "energy_ev_per_cell": -237.692,
  "lattice_angstrom": [[9.1823, 0.0000, 0.0000], [-4.5911, 7.9521, 0.0000], [0.0000, 0.0000, 8.2593]],
  "species": ["Sc", "Sc", "Sc", "Sc", "Sc", "Sc", "Sc", "Sc", "Sc", "Sc", "Sc", "Sc", "Ga", "Ga", "Ga", "Ga", "Ga", "Ga", "Ga", "Ga", "Ga", "Ga", "Ga", "Ga", "Ga", "Ga", "Ir", "Ir", "Ir", "Ir", "Ir", "Ir", "Ir", "Ir", "Ir", "Ir"],
  "frac_coords": [[0.0000, 0.3253, 0.0554], [0.0000, 0.3253, 0.4446], [0.0000, 0.6747, 0.5554], [0.0000, 0.6747, 0.9446], [0.3253, 0.0000, 0.0554], [0.3253, 0.0000, 0.4446], [0.3253, 0.3253, 0.5554], [0.3253, 0.3253, 0.9446], [0.6747, 0.0000, 0.5554], [0.6747, 0.0000, 0.9446], [0.6747, 0.6747, 0.0554], [0.6747, 0.6747, 0.4446], [0.0000, 0.0000, 0.0000], [0.0000, 0.0000, 0.5000], [0.1646, 0.4946, 0.7500], [0.1646, 0.6700, 0.2500], [0.3300, 0.4946, 0.2500], [0.3300, 0.8354, 0.7500], [0.4946, 0.1646, 0.7500], [0.4946, 0.3300, 0.2500], [0.5054, 0.6700, 0.7500], [0.5054, 0.8354, 0.2500], [0.6700, 0.1646, 0.2500], [0.6700, 0.5054, 0.7500], [0.8354, 0.3300, 0.7500], [0.8354, 0.5054, 0.2500], [0.0000, 0.1739, 0.7500], [0.0000, 0.8261, 0.2500], [0.1739, 0.0000, 0.7500], [0.1739, 0.1739, 0.2500], [0.3333, 0.6667, 0.0000], [0.3333, 0.6667, 0.5000], [0.6667, 0.3333, 0.0000], [0.6667, 0.3333, 0.5000], [0.8261, 0.0000, 0.2500], [0.8261, 0.8261, 0.7500]]
}


(6)
{
  "formula": "ScGa2Ir",
  "functional": "PBE",
  "state": "optimized geometry",
  "energy_ev_per_cell": -23.156,
  "lattice_angstrom": [[0.0000, 3.1842, 3.1842], [3.1842, 0.0000, 3.1842], [3.1842, 3.1842, 0.0000]],
  "species": ["Sc", "Ga", "Ga", "Ir"],
  "frac_coords": [[0.0000, 0.0000, 0.0000], [0.5000, 0.5000, 0.5000], [0.7500, 0.7500, 0.7500], [0.2500, 0.2500, 0.2500]]
}


(7)
{
  "formula": "Sc6Ga16Ir7",
  "functional": "PBE",
  "state": "optimized geometry",
  "energy_ev_per_cell": -166.994,
  "lattice_angstrom": [[0.0000, 6.2248, 6.2248], [6.2248, 0.0000, 6.2248], [6.2248, 6.2248, 0.0000]],
  "species": ["Sc", "Sc", "Sc", "Sc", "Sc", "Sc", "Ga", "Ga", "Ga", "Ga", "Ga", "Ga", "Ga", "Ga", "Ga", "Ga", "Ga", "Ga", "Ga", "Ga", "Ga", "Ga", "Ir", "Ir", "Ir", "Ir", "Ir", "Ir", "Ir"],
  "frac_coords": [[0.2169, 0.2169, 0.7831], [0.2169, 0.7831, 0.2169], [0.2169, 0.7831, 0.7831], [0.7831, 0.2169, 0.2169], [0.7831, 0.2169, 0.7831], [0.7831, 0.7831, 0.2169], [0.1305, 0.6232, 0.6232], [0.1557, 0.1557, 0.1557], [0.1557, 0.1557, 0.5330], [0.1557, 0.5330, 0.1557], [0.3768, 0.3768, 0.3768], [0.3768, 0.3768, 0.8695], [0.3768, 0.8695, 0.3768], [0.4670, 0.8443, 0.8443], [0.5330, 0.1557, 0.1557], [0.6232, 0.1305, 0.6232], [0.6232, 0.6232, 0.1305], [0.6232, 0.6232, 0.6232], [0.8443, 0.4670, 0.8443], [0.8443, 0.8443, 0.4670], [0.8443, 0.8443, 0.8443], [0.8695, 0.3768, 0.3768], [0.0000, 0.0000, 0.5000], [0.0000, 0.5000, 0.0000], [0.0000, 0.5000, 0.5000], [0.5000, 0.0000, 0.0000], [0.5000, 0.0000, 0.5000], [0.5000, 0.5000, 0.0000], [0.5000, 0.5000, 0.5000]]
}


(8)
{
  "formula": "ScGaIr2",
  "functional": "PBE",
  "state": "optimized geometry",
  "energy_ev_per_cell": -117.794,
  "lattice_angstrom": [[6.6239, 0.0000, 0.0000], [0.0000, 7.4055, 0.0000], [0.0000, 0.0000, 5.3381]],
  "species": ["Sc", "Sc", "Sc", "Sc", "Ga", "Ga", "Ga", "Ga", "Ir", "Ir", "Ir", "Ir", "Ir", "Ir", "Ir", "Ir"],
  "frac_coords": [[0.0119, 0.2500, 0.1285], [0.4881, 0.7500, 0.6285], [0.5119, 0.2500, 0.3715], [0.9881, 0.7500, 0.8715], [0.1082, 0.7500, 0.3729], [0.3918, 0.2500, 0.8729], [0.6082, 0.7500, 0.1271], [0.8918, 0.2500, 0.6271], [0.1877, 0.0337, 0.6168], [0.1877, 0.4663, 0.6168], [0.3123, 0.5337, 0.1168], [0.3123, 0.9663, 0.1168], [0.6877, 0.0337, 0.8832], [0.6877, 0.4663, 0.8832], [0.8123, 0.5337, 0.3832], [0.8123, 0.9663, 0.3832]]
}


no.,V (Å³ per atom)
1,18.13
2,15.41
3,16.87
4,15.98
5,16.75
6,16.14
7,16.63
8,16.37